[1]
First-principles (GGA-PBE) data for Er12OsRu6 after structural relaxation, as listed in the Alexandria database.

Calculated values
- Energy of formation from the pure elements: -0.165 eV/atom
- Space group: R-3, No. 148
- VASP energy: -124.8 eV/cell

Unit cell a=8.0121 b=8.0121 c=8.0121 alpha=100.13 beta=100.13 gamma=100.13
With the nearest neighbours (Å) after each atom.
Sites, in units of the cell vectors:
Er (0.1785, 0.4162, 0.5636)  4 Ru 2.69-2.95
Er (0.5636, 0.1785, 0.4162)  4 Ru 2.69-2.95
Ru (0.8616, 0.3820, 0.6905)  6 Er 2.69-2.95
Ru (0.3820, 0.6905, 0.8616)  6 Er 2.69-2.95
Er (0.4162, 0.5636, 0.1785)  4 Ru 2.69-2.95
Er (0.0506, 0.6755, 0.9184)  1 Os 2.69, 2 Ru 2.72-2.76
Er (0.6755, 0.9184, 0.0506)  1 Os 2.69, 2 Ru 2.72-2.76
Er (0.9494, 0.3245, 0.0816)  1 Os 2.69, 2 Ru 2.72-2.76
Ru (0.6180, 0.3095, 0.1384)  6 Er 2.69-2.95
Ru (0.3095, 0.1384, 0.6180)  6 Er 2.69-2.95
Ru (0.6905, 0.8616, 0.3820)  6 Er 2.69-2.95
Er (0.9184, 0.0506, 0.6755)  1 Os 2.69, 2 Ru 2.72-2.76
Er (0.3245, 0.0816, 0.9494)  1 Os 2.69, 2 Ru 2.72-2.76
Os (0.0000, 0.0000, 0.0000)  6 Er 2.69
Ru (0.1384, 0.6180, 0.3095)  6 Er 2.69-2.95
Er (0.5838, 0.4364, 0.8215)  4 Ru 2.69-2.95
Er (0.8215, 0.5838, 0.4364)  4 Ru 2.69-2.95
Er (0.0816, 0.9494, 0.3245)  1 Os 2.69, 2 Ru 2.72-2.76
Er (0.4364, 0.8215, 0.5838)  4 Ru 2.69-2.95

[2]
First-principles (GGA-PBE) data for BPtRh after structural relaxation, as listed in the Alexandria database.

Calculated values
- Energy of formation from the pure elements: -0.317 eV/atom
- Space group: Pmn2_1, No. 31
- VASP energy: -42.0 eV/cell

Unit cell a=3.2320 b=4.6768 c=5.0536 alpha=90.00 beta=90.00 gamma=90.00
With the nearest neighbours (Å) after each atom.
Sites, in units of the cell vectors:
B (0.7500, 0.7419, 0.4970)  3 Rh 2.12-2.13, 3 Pt 2.16-2.18
Rh (0.2500, 0.6248, 0.2479)  3 B 2.12-2.13
Pt (0.2500, 0.8747, 0.7532)  3 B 2.16-2.18
Pt (0.7500, 0.1253, 0.2532)  3 B 2.16-2.18
B (0.2500, 0.2581, 0.9970)  3 Rh 2.12-2.13, 3 Pt 2.16-2.18
Rh (0.7500, 0.3752, 0.7479)  3 B 2.12-2.13

[3]
First-principles (GGA-PBE) data for Tl3VN after structural relaxation, as listed in the Alexandria database.

Calculated values
- Formation energy (no corrections): 1388 meV/atom
- Energy relative to the lowest polymorph listed for this composition: 0.245 eV/atom
- Space group: Pm-3m, No. 221
- VASP energy: -17.6 eV/cell

Unit cell a=5.4382 b=5.4382 c=5.4382 alpha=90.00 beta=90.00 gamma=90.00
With the nearest neighbours (Å) after each atom.
Sites, in units of the cell vectors:
Tl (0.0000, 0.5000, 0.0000)  2 V 2.72
Tl (0.0000, 0.0000, 0.5000)  2 V 2.72
V (0.0000, 0.0000, 0.0000)  6 Tl 2.72
Tl (0.5000, 0.0000, 0.0000)  2 V 2.72
N (0.5000, 0.5000, 0.5000)  12 Tl 3.85

[4]
First-principles (GGA-PBE) data for Co4CuSi after structural relaxation, as listed in the Alexandria database.

Calculated values
- Formation energy (no corrections): 224 meV/atom
- Space group: F-43m, No. 216
- VASP energy: -36.6 eV/cell

Unit cell a=4.6404 b=4.6404 c=4.6404 alpha=60.00 beta=60.00 gamma=60.00
With the nearest neighbours (Å) after each atom.
Sites, in units of the cell vectors:
Co (0.1245, 0.6252, 0.6252)  6 Co 2.32
Co (0.6252, 0.6252, 0.6252)  6 Co 2.32
Co (0.6252, 0.6252, 0.1245)  6 Co 2.32
Cu (0.2500, 0.2500, 0.2500)  12 Co 2.72, 4 Si 2.84
Si (0.0000, 0.0000, 0.0000)  12 Co 2.72, 4 Cu 2.84
Co (0.6252, 0.1245, 0.6252)  6 Co 2.32

[5]
First-principles (GGA-PBE) data for CaAc5Pr2Nd after structural relaxation, as listed in the Alexandria database.

Calculated values
- Energy of formation from the pure elements: 0.270 eV/atom
- Space group: I4/mcm, No. 140
- VASP energy: -68.9 eV/cell

Unit cell a=9.9756 b=9.9756 c=10.5027 alpha=118.35 beta=118.35 gamma=90.00
With the nearest neighbours (Å) after each atom.
Sites, in units of the cell vectors:
Pr (0.3941, 0.8941, 0.0000)  1 Pr 2.99, 2 Ac 3.34
Pr (0.6059, 0.1059, 0.0000)  1 Pr 2.99, 2 Ac 3.34
Nd (0.2500, 0.2500, 0.5000)  10 Ac 3.89-4.03
Ac (0.9244, 0.4244, 0.2611)  1 Pr 3.34, 1 Ca 3.45
Ac (0.0000, 0.0000, 0.0000)  2 Nd 3.89, 4 Pr 4.07, 8 Ac 4.12
Ac (0.8367, 0.9244, 0.2611)  1 Pr 3.34, 1 Ca 3.45
Ac (0.0756, 0.5756, 0.7389)  1 Pr 3.34, 1 Ca 3.45
Ca (0.7500, 0.2500, 0.5000)  4 Ac 3.45
Ac (0.1633, 0.0756, 0.7389)  1 Pr 3.34, 1 Ca 3.45
Ac (0.3367, 0.8367, 0.2611)  1 Pr 3.34, 1 Ca 3.45
Ac (0.6633, 0.1633, 0.7389)  1 Pr 3.34, 1 Ca 3.45
Ca (0.2500, 0.7500, 0.5000)  4 Ac 3.45
Pr (0.1059, 0.3941, 0.0000)  1 Pr 2.99, 2 Ac 3.34
Nd (0.7500, 0.7500, 0.5000)  10 Ac 3.89-4.03
Pr (0.8941, 0.6059, 0.0000)  1 Pr 2.99, 2 Ac 3.34
Ac (0.4244, 0.3367, 0.2611)  1 Pr 3.34, 1 Ca 3.45
Ac (0.5000, 0.5000, 0.0000)  2 Nd 3.89, 4 Pr 4.07, 8 Ac 4.12
Ac (0.5756, 0.6633, 0.7389)  1 Pr 3.34, 1 Ca 3.45

[6]
First-principles (GGA-PBE) data for SiNi5B after structural relaxation, as listed in the Alexandria database.

Calculated values
- Formation energy (no corrections): -27 meV/atom
- Energy relative to the lowest polymorph listed for this composition: 0.323 eV/atom
- Space group: C2/c, No. 15
- VASP energy: -82.4 eV/cell

Unit cell a=4.8134 b=4.8134 c=8.3947 alpha=65.46 beta=65.46 gamma=69.33
With the nearest neighbours (Å) after each atom.
Sites, in units of the cell vectors:
Ni (0.3593, 0.1638, 0.7709)  1 B 2.06, 1 Si 2.30, 1 Ni 2.30
Ni (0.8362, 0.6407, 0.7291)  1 B 2.06, 1 Si 2.30, 1 Ni 2.30
B (0.0000, 0.0000, 0.5000)  6 Ni 2.06-2.20
Ni (0.7435, 0.4735, 0.5139)  1 B 2.20, 4 Ni 2.30-2.43, 1 Si 2.36
Ni (0.2565, 0.5265, 0.4861)  1 B 2.20, 4 Ni 2.30-2.43, 1 Si 2.36
Si (0.3389, 0.6611, 0.7500)  5 Ni 2.23-2.36
Ni (0.9317, 0.0683, 0.7500)  2 B 2.13, 1 Si 2.23, 4 Ni 2.35-2.36
Ni (0.0683, 0.9317, 0.2500)  2 B 2.13, 1 Si 2.23, 4 Ni 2.35-2.36
Ni (0.4735, 0.7435, 0.0139)  1 B 2.20, 4 Ni 2.30-2.43, 1 Si 2.36
Ni (0.1638, 0.3593, 0.2709)  1 B 2.06, 1 Si 2.30, 1 Ni 2.30
B (0.0000, 0.0000, 0.0000)  6 Ni 2.06-2.20
Si (0.6611, 0.3389, 0.2500)  5 Ni 2.23-2.36
Ni (0.6407, 0.8362, 0.2291)  1 B 2.06, 1 Si 2.30, 1 Ni 2.30
Ni (0.5265, 0.2565, 0.9861)  1 B 2.20, 4 Ni 2.30-2.43, 1 Si 2.36

[7]
First-principles (GGA-PBE) data for Rb2GaO after structural relaxation, as listed in the Alexandria database.

Calculated values
- Formation energy (no corrections): 36 meV/atom
- Energy relative to the lowest polymorph listed for this composition: 0.523 eV/atom
- Space group: Fm-3m, No. 225
- VASP energy: -9.8 eV/cell

Unit cell a=5.4787 b=5.4787 c=5.4787 alpha=60.00 beta=60.00 gamma=60.00
With the nearest neighbours (Å) after each atom.
Sites, in units of the cell vectors:
Ga (0.5000, 0.5000, 0.5000)  8 Rb 3.35
O (0.0000, 0.0000, 0.0000)  8 Rb 3.35
Rb (0.2500, 0.2500, 0.2500)  4 Ga 3.35, 4 O 3.35
Rb (0.7500, 0.7500, 0.7500)  4 O 3.35, 4 Ga 3.35

[8]
First-principles (GGA-PBE) data for Tb7NdTm5 after structural relaxation, as listed in the Alexandria database.

Calculated values
- Energy of formation from the pure elements: 0.247 eV/atom
- Space group: Imm2, No. 44
- VASP energy: -56.3 eV/cell

Unit cell a=6.6414 b=8.6788 c=8.6788 alpha=80.22 beta=67.50 gamma=67.50
With the nearest neighbours (Å) after each atom.
Sites, in units of the cell vectors:
Tb (0.0179, 0.3087, 0.6554)  3 Tb 3.43-3.75, 5 Tm 3.43-3.44, 1 Nd 3.70
Tm (0.0048, 0.0001, 0.4622)  6 Tb 3.12-3.48, 2 Tm 3.13-3.39
Tb (0.5204, 0.8078, 0.1514)  5 Tm 3.43-3.46, 5 Tb 3.51-3.84
Tb (0.2644, 0.2356, 0.2356)  4 Tm 3.12, 2 Tb 3.43
Nd (0.9666, 0.0334, 0.0334)  7 Tb 3.49-3.89, 4 Tm 3.78
Tb (0.0179, 0.6554, 0.3087)  3 Tb 3.43-3.75, 5 Tm 3.43-3.44, 1 Nd 3.70
Tm (0.5329, 0.4622, 0.0001)  6 Tb 3.12-3.48, 2 Tm 3.13-3.39
Tm (0.0048, 0.4622, 0.0001)  6 Tb 3.12-3.48, 2 Tm 3.13-3.39
Tm (0.7704, 0.7296, 0.7296)  6 Tb 3.32-3.46, 4 Tm 3.39
Tb (0.5765, 0.4235, 0.4235)  7 Tb 3.52-3.90, 4 Tm 3.74
Tb (0.2701, 0.7299, 0.7299)  6 Tm 3.32-3.48, 1 Nd 3.49, 1 Tb 3.52
Tb (0.5204, 0.1514, 0.8078)  5 Tm 3.43-3.46, 5 Tb 3.51-3.84
Tm (0.5329, 0.0001, 0.4622)  6 Tb 3.12-3.48, 2 Tm 3.13-3.39

| no. | DOS at the Fermi energy (states/eV per cell) |
| --- | --- |
| 1 | 10.586 |
| 2 | 1.756 |
| 3 | 5.090 |
| 4 | 7.510 |
| 5 | 28.009 |
| 6 | 10.902 |
| 7 | 2.256 |
| 8 | 26.583 |